## Zr5Zn2Fe (PBE)

Data for a geometry-optimized Zr5Zn2Fe structure.

abc: 4.2174 6.9479 10.7865
angles: 90.00 90.00 90.00
Closest atoms and distances in Å follow each position.
Positions (direct):
Zr (0.5000, 0.3130, 0.0707)  2 Fe 2.59
Zr (0.5000, 0.6870, 0.9293)  2 Fe 2.59
Zr (0.5000, 0.8130, 0.4293)  2 Fe 2.59
Zr (0.5000, 0.1870, 0.5707)  2 Fe 2.59
Zr (0.0000, 0.8572, 0.7109)  1 Fe 2.48
Zr (0.0000, 0.1428, 0.2891)  1 Fe 2.48
Zr (0.0000, 0.3572, 0.7891)  1 Fe 2.48
Zr (0.0000, 0.6428, 0.2109)  1 Fe 2.48
Zr (0.0000, 0.5000, 0.5000)  4 Zn 2.83, 4 Zr 3.12
Zr (0.0000, 0.0000, 0.0000)  4 Zn 2.83, 4 Zr 3.12
Zn (0.5000, 0.4224, 0.3316)  9 Zr 2.83-3.05
Zn (0.5000, 0.5776, 0.6684)  9 Zr 2.83-3.05
Zn (0.5000, 0.0776, 0.8316)  9 Zr 2.83-3.05
Zn (0.5000, 0.9224, 0.1684)  9 Zr 2.83-3.05
Fe (0.0000, 0.0000, 0.5000)  6 Zr 2.48-2.59
Fe (0.0000, 0.5000, 0.0000)  6 Zr 2.48-2.59

Properties
Formation enthalpy at 0 K ... -0.1489 eV per atom

***

## Ba5GeAs6 (PBE)

Data for a geometry-optimized Ba5GeAs6 structure.

abc: 5.5488 9.7033 9.4918
angles: 59.26 79.19 68.48
Closest atoms and distances in Å follow each position.
Positions (direct):
Ba (0.5000, 0.1179, 0.7641)  6 As 3.36-3.49, 2 Ge 3.38
Ba (0.0000, 0.2982, 0.4036)  4 As 3.25-3.47
Ba (0.5000, 0.5000, 0.0000)  6 As 3.25-3.35
Ba (0.0000, 0.7018, 0.5964)  4 As 3.25-3.47
Ba (0.5000, 0.8821, 0.2359)  6 As 3.36-3.49, 2 Ge 3.38
Ge (0.0000, 0.0000, 0.0000)  6 As 2.87-2.96
As (0.8490, 0.1026, 0.2572)  1 As 2.62
As (0.1510, 0.6402, 0.2572)  1 As 2.62
As (0.0981, 0.2707, 0.0000)  2 As 2.62, 1 Ge 2.87
As (0.9019, 0.7293, 0.0000)  2 As 2.62, 1 Ge 2.87
As (0.8490, 0.3598, 0.7428)  1 As 2.62
As (0.1510, 0.8974, 0.7428)  1 As 2.62

Properties
Formation enthalpy at 0 K ... -0.6740 eV per atom

***

## NaDySi (PBE)

Data for a geometry-optimized NaDySi structure.

abc: 3.8461 10.2675 8.5471
angles: 32.60 90.00 100.80
Closest atoms and distances in Å follow each position.
Positions (direct):
Si (0.0746, 0.1493, 0.7446)  1 Si 2.36
Si (0.9254, 0.8507, 0.2554)  1 Si 2.36
Na (0.3661, 0.7322, 0.6552)  2 Si 3.13, 1 Na 3.41
Na (0.6339, 0.2678, 0.3448)  2 Si 3.13, 1 Na 3.41
Dy (0.6432, 0.2864, 0.8468)  5 Si 2.91-2.98
Dy (0.3568, 0.7136, 0.1532)  5 Si 2.91-2.98

Properties
Formation energy from raw total energies ... -19 kJ/mol of atoms